(1)
Density functional theory data (PBEsol) for crystalline Li2FeP2O7 at its relaxed geometry.

a b c (Å): 5.023 7.037 8.237
angles (deg): 90.00 90.00 109.56
Each line ends with the local moment (μB).
Element x y z (fractional)
O (0.390, 0.251, 0.168)  0.00
O (0.769, 0.494, 0.343)  0.05
O (0.566, 0.377, 0.687)  0.03
O (0.923, 0.118, 0.322)  0.05
O (0.205, 0.493, 0.535)  0.04
O (0.795, 0.507, 0.035)  0.04
O (0.610, 0.749, 0.668)  0.00
O (0.863, 0.117, 0.700)  0.04
O (0.434, 0.623, 0.187)  0.03
O (0.374, 0.084, 0.447)  0.03
O (0.077, 0.882, 0.822)  0.05
O (0.626, 0.916, 0.947)  0.03
O (0.231, 0.506, 0.843)  0.05
O (0.137, 0.883, 0.200)  0.04
Fe (0.796, 0.277, 0.497)  3.58
Fe (0.204, 0.723, 0.997)  3.58
P (0.204, 0.082, 0.293)  0.01
P (0.607, 0.479, 0.184)  0.01
P (0.796, 0.918, 0.793)  0.01
P (0.393, 0.521, 0.684)  0.01
Li (0.712, 0.901, 0.170)  0.00
Li (0.832, 0.351, 0.851)  0.00
Li (0.288, 0.099, 0.670)  0.00
Li (0.168, 0.649, 0.351)  0.00

## Properties
- Formation energy from raw total energies: -2.07 eV per atom
- Excess energy over the best structure of this formula in the dataset: 3 meV/atom
- Space group: P2_1, No. 4
- Total energy: -86.1 eV/f.u.

(2)
Density functional theory data (PBEsol) for crystalline Li2FePO5 at its relaxed geometry.

a b c (Å): 4.434 6.350 6.350
angles (deg): 90.00 90.00 90.00
Each line ends with the local moment (μB).
Element x y z (fractional)
O (0.791, 0.000, 0.805)  0.08
O (0.209, 0.500, 0.695)  0.08
O (0.330, 0.000, 0.500)  0.46
O (0.791, 0.695, 0.500)  0.08
O (0.791, 0.000, 0.195)  0.08
O (0.209, 0.500, 0.305)  0.08
O (0.209, 0.195, 0.000)  0.08
O (0.791, 0.305, 0.500)  0.08
O (0.670, 0.500, 0.000)  0.46
O (0.209, 0.805, 0.000)  0.08
P (0.000, 0.000, 0.000)  0.02
P (0.000, 0.500, 0.500)  0.02
Fe (0.068, 0.500, 0.000)  3.92
Fe (0.932, 0.000, 0.500)  3.92
Li (0.500, 0.250, 0.250)  0.00
Li (0.500, 0.250, 0.750)  0.00
Li (0.500, 0.750, 0.250)  0.00
Li (0.500, 0.750, 0.750)  0.00

## Properties
- Formation energy from raw total energies: -2.00 eV per atom
- Space group: P4/nmm, No. 129
- Total energy: -62.9 eV/f.u.